(1)
Here is Be3Se5 after structural relaxation from Alexandria via LeMat-Bulk. Energies are from PBE.

- Formation energy without anion corrections: 129.3 meV per atom
- Magnetic moment: 0.0000 μB per atom

abc: 6.7955 16.8631 3.3747
angles: 90.00 90.00 90.00
Space group Cmmm (No. 65)
Unique sites:
1 Be 0.0000 0.0000 0.0000 [2 per cell]
2 Be 0.0000 0.2503 0.5000 [4 per cell]
3 Se 0.0000 0.5000 0.0000 [2 per cell]
4 Se 0.2136 0.0000 0.5000 [4 per cell]
5 Se 0.2500 0.2500 0.0000 [4 per cell]


(2)
Here is BeSe after structural relaxation from Alexandria via LeMat-Bulk. Energies are from PBE.

- Formation energy without anion corrections: 866.8 meV per atom
- Magnetic moment: 0.0000 μB per atom

abc: 6.3538 6.3538 6.3538
angles: 90.00 90.00 90.00
Space group Fd-3m (No. 227, origin choice 2)
Unique sites:
1 Be 0.1250 0.1250 0.1250 [8 per cell]
2 Se 0.1250 0.1250 0.6250 [8 per cell]


(3)
Here is Be3Se4 after structural relaxation from Alexandria via LeMat-Bulk. Energies are from PBE.

- Formation energy without anion corrections: -23.0 meV per atom
- Magnetic moment: 0.0000 μB per atom

abc: 3.3502 3.3502 22.7414
angles: 90.00 90.00 90.00
Space group I4/mmm (No. 139)
Unique sites:
1 Be 0.0000 0.0000 0.0000 [2 per cell]
2 Be 0.0000 0.0000 0.2856 [4 per cell]
3 Se 0.0000 0.0000 0.1872 [4 per cell]
4 Se 0.0000 0.0000 0.4472 [4 per cell]